Record 1
## KNbSb2Te (PBE)

Data for crystalline KNbSb2Te at its relaxed geometry.

```
KNbSb2Te
1.0
5.476 0.000 0.000
0.000 5.476 0.000
0.000 0.000 5.515
Te Nb Sb K
1 1 2 1
Direct
0.000 0.000 0.500 Te
0.000 0.000 0.000 Nb
0.500 0.000 0.000 Sb
0.000 0.500 0.000 Sb
0.500 0.500 0.500 K
```

Output
density	5052	kg/m³
formation energy from raw total energies	-0.118	eV per atom
space group	P4/mmm
E above lowest polymorph	0.00	eV per formula unit



Record 2
## KNbSb2Te (PBE)

Data for crystalline KNbSb2Te at its relaxed geometry.

```
KNbSb2Te
1.0
-0.530 -1.310 -5.329
-4.003 -3.570 1.276
-3.860 4.105 -0.625
Nb K Sb Te
1 1 2 1
Direct
0.500 0.500 0.500 Nb
0.000 0.000 0.000 K
0.500 0.000 0.000 Sb
0.000 0.500 0.000 Sb
0.000 0.000 0.500 Te
```

Output
density	4848	kg/m³
formation energy from raw total energies	1.855	eV per atom
space group	P4/mmm
E above lowest polymorph	9.87	eV per formula unit



Record 3
## KTiNbSb2 (PBE)

Data for crystalline KTiNbSb2 at its relaxed geometry.

```
KTiNbSb2
1.0
-1.414 -2.847 -4.326
3.206 -4.123 1.665
-4.119 -2.101 2.728
Sb Nb Ti K
2 1 1 1
Direct
0.500 0.000 0.000 Sb
0.000 0.000 0.500 Sb
0.000 0.000 0.000 Nb
0.500 0.500 0.500 Ti
0.000 0.500 0.000 K
```

Output
density	4450	kg/m³
formation energy from raw total energies	1.103	eV per atom
space group	P4/mmm



Record 4
## K2NbVSb (PBE)

Data for crystalline K2NbVSb at its relaxed geometry.

```
K2NbVSb
1.0
-5.244 -2.725 2.808
1.422 -4.777 -1.979
3.507 -1.191 5.394
Sb Nb V K
1 1 1 2
Direct
0.000 0.500 0.000 Sb
0.000 0.000 0.000 Nb
0.500 0.500 0.500 V
0.000 0.000 0.500 K
0.500 0.000 0.000 K
```

Output
density	2487	kg/m³
formation energy from raw total energies	1.368	eV per atom
space group	P4/mmm



Record 5
## K2NbZnSb (PBE)

Data for crystalline K2NbZnSb at its relaxed geometry.

```
K2NbZnSb
1.0
-4.358 -3.421 -1.064
2.463 -3.959 2.638
-2.470 1.657 4.794
K Zn Nb Sb
2 1 1 1
Direct
0.500 0.000 0.000 K
0.000 0.000 0.500 K
0.000 0.000 0.000 Zn
0.000 0.500 0.000 Nb
0.500 0.500 0.500 Sb
```

Output
density	3490	kg/m³
formation energy from raw total energies	0.849	eV per atom
space group	P4/mmm



Record 6
## KNbZnSb2 (PBE)

Data for crystalline KNbZnSb2 at its relaxed geometry.

```
KNbZnSb2
1.0
-4.490 0.721 2.835
-0.715 -6.738 0.582
2.870 0.086 4.524
Sb Zn Nb K
2 1 1 1
Direct
0.000 0.000 0.500 Sb
0.500 0.000 0.000 Sb
0.500 0.500 0.500 Zn
0.000 0.000 0.000 Nb
0.000 0.500 0.000 K
```

Output
density	3749	kg/m³
formation energy from raw total energies	0.435	eV per atom
space group	P4/mmm